[1]
VASP calculation (PBE) on an optimized crystal structure of MnGaPH.

Cell: 2.8586 2.9001 5.7179 Å, 90.00 105.10 90.00°
Fractional positions:
Mn  0.3952  0.5000  0.1820
Ga  0.2029  0.0000  0.8076
H  0.8045  0.5000  0.0087
P  0.9987  0.0000  0.3807

Excess energy over the best structure of this formula in the dataset in meV/atom: 29

[2]
VASP calculation (PBE) on an optimized crystal structure of MnGaPH.

Cell: 2.9080 2.9075 5.2081 Å, 90.00 90.00 90.00°
Fractional positions:
H  0.5000  0.0000  0.9944
P  0.5000  0.5000  0.6027
Ga  0.0000  0.5000  0.2090
Mn  0.0000  0.0000  0.8149

Excess energy over the best structure of this formula in the dataset in meV/atom: 16

[3]
VASP calculation (PBE) on an optimized crystal structure of MnGaPH.

Cell: 3.0335 3.0335 5.6986 Å, 90.00 90.00 120.00°
Fractional positions:
Ga  0.6667  0.3333  0.7926
Mn  0.0000  0.0000  0.1261
P  0.6667  0.3333  0.3783
H  0.3333  0.6667  0.0820

Excess energy over the best structure of this formula in the dataset in meV/atom: 59

[4]
VASP calculation (PBE) on an optimized crystal structure of MnGaPH.

Cell: 4.3447 2.6314 8.4261 Å, 90.00 90.39 90.00°
Fractional positions:
Ga  0.8531  0.0000  0.3673
Ga  0.8531  0.5000  0.8673
H  0.7643  0.5000  0.6184
H  0.7643  0.0000  0.1184
P  0.4215  0.0000  0.1295
P  0.4215  0.5000  0.6295
Mn  0.3401  0.5000  0.3525
Mn  0.3401  0.0000  0.8525

Excess energy over the best structure of this formula in the dataset in meV/atom: 133

| no. | mass density (g/cm3) |
| --- | --- |
| 1 | 5.7 |
| 2 | 5.9 |
| 3 | 5.7 |
| 4 | 5.4 |